# 1
This record from the Alexandria database describes crystalline Y at its relaxed geometry. The functional is PBE.

```
Y
1.0
3.543 0.000 0.000
0.000 13.174 0.000
0.000 0.000 5.554
Y
8
Direct
0.000 0.065 0.250 Y
0.000 0.935 0.750 Y
0.500 0.565 0.250 Y
0.500 0.435 0.750 Y
0.000 0.326 0.250 Y
0.000 0.674 0.750 Y
0.500 0.826 0.250 Y
0.500 0.174 0.750 Y
```

Properties
Energy relative to the lowest polymorph listed for this composition = 0.040 eV/f.u.
Space group = Cmcm

# 2
This record from the Alexandria database describes crystalline Y at its relaxed geometry. The functional is PBE.

```
Y
1.0
3.420 0.000 0.000
-1.710 2.961 0.000
0.000 0.000 3.310
Y
1
Direct
0.000 0.000 0.000 Y
```

Properties
Energy relative to the lowest polymorph listed for this composition = 0.440 eV/f.u.
Space group = P6/mmm

# 3
This record from the Alexandria database describes crystalline Y at its relaxed geometry. The functional is PBE.

```
Y
1.0
3.569 0.000 0.000
0.000 13.827 0.000
0.000 0.000 8.588
Y
12
Direct
0.500 0.885 0.602 Y
0.500 0.115 0.602 Y
0.500 0.385 0.102 Y
0.500 0.615 0.102 Y
0.500 0.000 0.250 Y
0.500 0.500 0.750 Y
0.000 0.267 0.826 Y
0.000 0.733 0.826 Y
0.000 0.767 0.326 Y
0.000 0.233 0.326 Y
0.000 0.000 0.897 Y
0.000 0.500 0.397 Y
```

Properties
Energy relative to the lowest polymorph listed for this composition = 0.365 eV/f.u.
Space group = Amm2

# 4
This record from the Alexandria database describes crystalline Y at its relaxed geometry. The functional is PBE.

```
Y
1.0
8.860 -0.013 -0.008
8.131 3.518 -0.008
8.131 1.677 3.092
Y
3
Direct
0.000 0.000 0.000 Y
0.222 0.222 0.222 Y
0.778 0.778 0.778 Y
```

Properties
Energy relative to the lowest polymorph listed for this composition = 0.000 eV/f.u.
Space group = R-3m

# 5
This record from the Alexandria database describes crystalline Y at its relaxed geometry. The functional is PBE.

```
Y
1.0
-1.082 0.799 -5.603
5.038 -2.245 1.670
-2.449 -5.756 -0.348
Y
4
Direct
0.333 0.667 0.000 Y
0.667 0.333 0.500 Y
0.667 0.333 0.000 Y
0.333 0.667 0.500 Y
```

Properties
Energy relative to the lowest polymorph listed for this composition = 1.285 eV/f.u.
Space group = P6/mmm

# 6
This record from the Alexandria database describes crystalline Y at its relaxed geometry. The functional is PBE.

```
Y
1.0
3.493 0.000 0.000
-1.164 3.294 0.000
-1.164 -1.647 2.852
Y
1
Direct
0.000 0.000 0.000 Y
```

Properties
Energy relative to the lowest polymorph listed for this composition = 0.124 eV/f.u.
Space group = Im-3m

# 7
This record from the Alexandria database describes crystalline Y at its relaxed geometry. The functional is PBE.

```
Y
1.0
3.266 0.000 0.000
0.000 3.266 0.000
0.000 0.000 3.266
Y
1
Direct
0.000 0.000 0.000 Y
```

Properties
Energy relative to the lowest polymorph listed for this composition = 0.771 eV/f.u.
Space group = Pm-3m

# 8
This record from the Alexandria database describes crystalline Y at its relaxed geometry. The functional is PBE.

```
Y
1.0
3.592 0.000 0.000
-1.796 3.111 0.000
0.000 0.000 11.529
Y
4
Direct
0.000 0.000 0.000 Y
0.000 0.000 0.500 Y
0.667 0.333 0.750 Y
0.333 0.667 0.250 Y
```

Properties
Energy relative to the lowest polymorph listed for this composition = 0.006 eV/f.u.
Space group = P6_3/mmc

# 9
This record from the Alexandria database describes crystalline Y at its relaxed geometry. The functional is PBE.

```
Y
1.0
-7.853 -3.858 1.830
3.776 -8.063 -0.794
1.993 0.076 8.713
Y
12
Direct
0.250 0.000 0.500 Y
0.750 0.000 0.500 Y
0.000 0.500 0.250 Y
0.000 0.500 0.750 Y
0.500 0.250 0.000 Y
0.500 0.750 0.000 Y
0.000 0.750 0.500 Y
0.000 0.250 0.500 Y
0.750 0.500 0.000 Y
0.250 0.500 0.000 Y
0.500 0.000 0.750 Y
0.500 0.000 0.250 Y
```

Properties
Energy relative to the lowest polymorph listed for this composition = 2.065 eV/f.u.
Space group = Im-3m

# 10
This record from the Alexandria database describes crystalline YbY6 at its relaxed geometry. The functional is PBE.

```
YbY6
1.0
-0.081 0.476 -7.087
-6.650 -0.675 2.404
2.922 5.869 2.734
Yb Y
1 6
Direct
0.000 0.000 0.000 Yb
0.250 0.750 0.500 Y
0.500 0.750 0.250 Y
0.250 0.500 0.750 Y
0.750 0.250 0.500 Y
0.500 0.250 0.750 Y
0.750 0.500 0.250 Y
```

Properties
Space group = Im-3m

# 11
This record from the Alexandria database describes crystalline YbY3 at its relaxed geometry. The functional is PBE.

```
YbY3
1.0
6.235 -0.016 0.000
2.140 5.856 0.000
-4.187 -2.920 3.579
Yb Y
1 3
Direct
0.000 0.000 0.000 Yb
0.750 0.250 0.500 Y
0.250 0.750 0.500 Y
0.500 0.500 0.000 Y
```

Properties
Space group = I4/mmm

# 12
This record from the Alexandria database describes crystalline Yb3Y at its relaxed geometry. The functional is PBE.

```
Yb3Y
1.0
-4.168 5.327 -2.650
-3.031 -6.210 2.240
-0.588 2.257 5.462
Yb Y
6 2
Direct
0.169 0.338 0.250 Yb
0.662 0.831 0.250 Yb
0.169 0.831 0.250 Yb
0.831 0.662 0.750 Yb
0.338 0.169 0.750 Yb
0.831 0.169 0.750 Yb
0.333 0.667 0.750 Y
0.667 0.333 0.250 Y
```

Properties
Space group = P6_3/mmc

Taking the records one at a time from the top gives E_tot values of -6.42; -6.02; -6.10; -6.46; -5.18; -6.34; -5.69; -6.46; -4.40; -4.33; -5.21; -2.83 eV/atom.
Taking the records one at a time from the top gives ΔE_f values of 0.040; 0.440; 0.365; 0.000; 1.285; 0.124; 0.771; 0.006; 2.065; 1.428; 0.024; -0.065 eV/atom.